Compound: Y2CdSe
Source: Alexandria
Functional: PBE-GGA
Structure: relaxed

Geometry as extended XYZ:
```
4
Lattice="0.794 -5.145 -0.167 -2.821 -3.169 3.021 -3.585 -3.120 -2.131" Properties=species:S:1:pos:R:3 pbc="T T T"
Y -1.403 -2.859 0.181
Y -4.208 -8.576 0.543
Se 0.000 0.000 0.000
Cd -2.806 -5.717 0.362
```

**Raw formation energy**: -2.5 eV/f.u.
**E**: -4.9623 eV/atom
**Space group**: Fm-3m (225)
**D(E_F)**: 3.177 states/eV/f.u.


Compound: Cu3BiBr
Source: Alexandria
Functional: PBE-GGA
Structure: relaxed

Geometry as extended XYZ:
```
5
Lattice="5.065 0.000 0.000 0.000 5.065 0.000 0.000 0.000 5.065" Properties=species:S:1:pos:R:3 pbc="T T T"
Cu 0.000 2.532 0.000
Cu 0.000 0.000 2.532
Cu 2.532 0.000 0.000
Bi 0.000 0.000 0.000
Br 2.532 2.532 2.532
```

**Raw formation energy**: 3.4 eV/f.u.
**E**: -2.8976 eV/atom
**Space group**: Pm-3m (221)
**D(E_F)**: 9.560 states/eV/f.u.


Compound: NbCd3As
Source: Alexandria
Functional: PBE-GGA
Structure: relaxed

Geometry as extended XYZ:
```
5
Lattice="-0.933 1.207 4.954 -0.865 -5.001 1.056 5.025 -0.637 1.102" Properties=species:S:1:pos:R:3 pbc="T T T"
Nb 1.613 -2.215 3.556
As 0.000 0.000 0.000
Cd -0.433 -2.500 0.528
Cd 2.512 -0.318 0.551
Cd -0.467 0.604 2.477
```

**E**: -2.4484 eV/atom
**Space group**: Pm-3m (221)
**D(E_F)**: 5.889 states/eV/f.u.
**Energy of formation**: 1.045 eV/atom


Compound: NaInBi2O8
Source: Alexandria
Functional: PBE-GGA
Structure: relaxed

Geometry as extended XYZ:
```
12
Lattice="-2.212 4.295 3.361 -1.209 -5.625 1.240 5.383 -0.293 3.917" Properties=species:S:1:pos:R:3 pbc="T T T"
Na 2.691 -0.147 1.959
In 0.000 0.000 0.000
Bi -1.548 0.970 2.894
Bi 3.510 -2.593 5.624
O 1.717 0.213 7.345
O 3.442 -0.451 4.925
O 3.010 2.452 5.736
O 0.245 -1.836 1.173
O -1.480 -1.172 3.593
O -1.048 -4.075 2.782
O 0.163 0.877 4.139
O 1.799 -2.500 4.379
```

**Raw formation energy**: -7.3 eV/f.u.
**E**: -4.8946 eV/atom
**Space group**: P-3 (147)
**D(E_F)**: 9.597 states/eV/f.u.